{
  "formula": "La2AgPbC",
  "functional": "PBE-GGA",
  "state": "relaxed",
  "volume_a3_per_cell": 125,
  "magnetic_moment_mub_per_cell": 0.0,
  "delta_e_f_ev_per_fu": -0.8,
  "sg": "P4/mmm, No. 123",
  "lattice_angstrom": [[5.2897, 0.0000, 0.0000], [0.0000, 5.2897, 0.0000], [0.0000, 0.0000, 4.4702]],
  "species": ["La", "La", "Ag", "Pb", "C"],
  "fractional_positions": [[0.0000, 0.5000, 0.0000], [0.5000, 0.0000, 0.0000], [0.0000, 0.0000, 0.5000], [0.5000, 0.5000, 0.5000], [0.0000, 0.0000, 0.0000]]
}